Material: NaPaCl6
Method: DFT, PBE
State: relaxed

Values from the calculation:
E_tot in eV per atom: -4.589
Total moment in μB/cell: 0.01

a = 10.7301 Å, b = 10.7301 Å, c = 10.7301 Å
α = 90.00°, β = 90.00°, γ = 90.00°
Space group Fm-3m (No. 225)
Inequivalent atoms, fractional coordinates:
Na 0.0000 0.0000 0.0000
Pa 0.0000 0.0000 0.5000
Cl 0.0000 0.0000 0.2623

Material: Na2PdCl4
Method: DFT, PBE
State: relaxed

Values from the calculation:
E_tot in eV per atom: -3.414

a = 9.5770 Å, b = 9.5770 Å, c = 7.5228 Å
α = 90.00°, β = 90.00°, γ = 90.00°
Space group P4/ncc (No. 130, origin choice 2)
Inequivalent atoms, fractional coordinates:
Na 0.0562 0.5562 0.2500
Pd 0.2500 0.2500 0.0647
Cl 0.0125 0.1957 0.5691

Material: Na2PdCl4
Method: DFT, PBE
State: relaxed

Values from the calculation:
E_tot in eV per atom: -3.406

a = 10.4921 Å, b = 8.0757 Å, c = 8.0959 Å
α = 90.00°, β = 90.00°, γ = 90.00°
Space group Cmce (No. 64)
Inequivalent atoms, fractional coordinates:
Na 0.2500 0.2389 0.2500
Pd 0.0000 0.0000 0.0000
Cl 0.0000 0.1921 0.7852
Cl 0.2238 0.0000 0.0000

Material: Na2PdCl4
Method: DFT, PBE
State: relaxed

Values from the calculation:
E_tot in eV per atom: -3.390

a = 6.7817 Å, b = 6.7817 Å, c = 3.6944 Å
α = 90.00°, β = 90.00°, γ = 90.00°
Space group P4/mmm (No. 123)
Inequivalent atoms, fractional coordinates:
Na 0.0000 0.5000 0.0000
Pd 0.0000 0.0000 0.5000
Cl 0.2420 0.2420 0.5000

Material: Rb2NaPtCl6
Method: DFT, PBE
State: relaxed

Values from the calculation:
E_tot in eV per atom: -3.318
Total moment in μB/cell: 0.13

a = 10.2771 Å, b = 10.2771 Å, c = 10.2771 Å
α = 90.00°, β = 90.00°, γ = 90.00°
Space group Fm-3m (No. 225)
Inequivalent atoms, fractional coordinates:
Rb 0.2500 0.2500 0.2500
Na 0.0000 0.0000 0.0000
Pt 0.0000 0.0000 0.5000
Cl 0.0000 0.0000 0.2646

Material: NaPu2Cl6
Method: DFT, PBE
State: relaxed

Values from the calculation:
E_tot in eV per atom: -6.448
Total moment in μB/cell: 22.00

a = 6.5130 Å, b = 6.5130 Å, c = 12.7145 Å
α = 90.00°, β = 90.00°, γ = 90.00°
Space group P4_2/mnm (No. 136)
Inequivalent atoms, fractional coordinates:
Na 0.0000 0.0000 0.0000
Pu 0.0000 0.0000 0.3338
Cl 0.1956 0.1956 0.5000
Cl 0.1989 0.1989 0.1688

Material: Rb2NaReCl6
Method: DFT, PBE
State: relaxed

Values from the calculation:
E_tot in eV per atom: -3.961
Total moment in μB/cell: 8.01

a = 10.2156 Å, b = 10.2156 Å, c = 10.2156 Å
α = 90.00°, β = 90.00°, γ = 90.00°
Space group Fm-3m (No. 225)
Inequivalent atoms, fractional coordinates:
Rb 0.2500 0.2500 0.2500
Na 0.0000 0.0000 0.0000
Re 0.0000 0.0000 0.5000
Cl 0.0000 0.0000 0.2648

Material: Rb2NaSmCl6
Method: DFT, PBE
State: relaxed

Values from the calculation:
E_tot in eV per atom: -3.987
Total moment in μB/cell: 0.01

a = 10.8122 Å, b = 10.8122 Å, c = 10.8122 Å
α = 90.00°, β = 90.00°, γ = 90.00°
Space group Fm-3m (No. 225)
Inequivalent atoms, fractional coordinates:
Rb 0.2500 0.2500 0.2500
Na 0.0000 0.0000 0.0000
Sm 0.0000 0.0000 0.5000
Cl 0.0000 0.0000 0.2520

- What is the formula in the fifth record?
  Rb2NaPtCl6

- Which of these has the lowest E_tot?
  NaPu2Cl6

- What is the E_tot in the eighth record?
  -3.987 eV per atom